Computed, not measured: a relaxed structure of Li2Bi2Pd4Au at the PBE level of DFT.

The structure in POSCAR format:
```
Li2Bi2Pd4Au
1.0
-3.309 3.309 3.826
3.309 -3.309 3.826
3.309 3.309 -3.826
Li Bi Pd Au
2 2 4 1
direct
0.195 0.195 0.000
0.805 0.805 0.000
0.250 0.750 0.500
0.750 0.250 0.500
0.218 0.218 0.435
0.218 0.782 0.000
0.782 0.218 0.000
0.782 0.782 0.565
0.500 0.500 0.000
```

Results
ρ ... 10448 kg/m³
Energy of formation ... -0.24 eV/atom
E_tot ... -4.195 eV per atom
Calculated volume ... 18.62 Å³ per atom